## 1
{"formula": "OsSe3N", "functional": "PBE-GGA", "state": "optimized geometry", "lattice": [[4.823, 0.000, 0.000], [0.000, 4.823, 0.000], [0.000, 0.000, 4.823]], "species": ["Se", "Se", "Se", "Os", "N"], "frac_coords": [[0.000, 0.000, 0.500], [0.500, 0.000, 0.000], [0.000, 0.500, 0.000], [0.000, 0.000, 0.000], [0.500, 0.500, 0.500]], "magmom_total_mub_per_cell": 0.00}

---

## 2
{"formula": "OsSe3N", "functional": "PBE-GGA", "state": "optimized geometry", "lattice": [[4.265, 0.000, 0.000], [0.000, 4.265, 0.000], [0.000, 0.000, 4.265]], "species": ["Se", "Se", "Se", "Os", "N"], "frac_coords": [[0.000, 0.500, 0.000], [0.000, 0.000, 0.500], [0.500, 0.000, 0.000], [0.500, 0.500, 0.500], [0.000, 0.000, 0.000]], "magmom_total_mub_per_cell": 0.00}

---

Referenced to the most stable arrangement, the calculated values in kJ/mol of atoms are 1 38.9; 2 0.0.

---

## 1
{"formula": "OsSe2N2", "functional": "PBE-GGA", "state": "optimized geometry", "lattice": [[5.296, 0.000, 0.000], [0.000, 5.296, 0.000], [0.000, 0.000, 8.096]], "species": ["Se", "Se", "Se", "Se", "N", "N", "N", "N", "Os", "Os"], "frac_coords": [[0.750, 0.750, 0.500], [0.750, 0.250, 0.500], [0.250, 0.750, 0.500], [0.250, 0.250, 0.500], [0.250, 0.250, 0.000], [0.750, 0.250, 0.000], [0.250, 0.750, 0.000], [0.750, 0.750, 0.000], [0.500, 0.500, 0.000], [0.000, 0.000, 0.000]], "magmom_total_mub_per_cell": 0.24}

---

## 2
{"formula": "OsSe2N2", "functional": "PBE-GGA", "state": "optimized geometry", "lattice": [[-3.333, 1.466, 0.010], [-0.969, -2.183, -2.748], [-2.153, -4.928, 4.674]], "species": ["N", "N", "Os", "Se", "Se"], "frac_coords": [[0.000, 0.500, 0.000], [0.500, 0.000, 0.000], [0.500, 0.500, 0.500], [0.000, 0.000, 0.000], [0.000, 0.000, 0.500]], "magmom_total_mub_per_cell": 1.93}

---

Referenced to the most stable arrangement, the calculated values in kJ/mol of atoms are 1 0.0; 2 120.8.

---

## 1
{"formula": "OsSe2N2", "functional": "PBE-GGA", "state": "optimized geometry", "lattice": [[4.610, 0.000, 0.000], [0.000, 4.610, 0.000], [2.305, 2.305, 3.471]], "species": ["N", "N", "Os", "Se", "Se"], "frac_coords": [[0.715, 0.715, 0.569], [0.285, 0.285, 0.431], [0.000, 0.000, 0.000], [0.250, 0.750, 0.500], [0.750, 0.250, 0.500]], "magmom_total_mub_per_cell": 0.62}

---

## 2
{"formula": "OsSe2N2", "functional": "PBE-GGA", "state": "optimized geometry", "lattice": [[3.784, 0.000, 0.000], [0.000, 3.784, 0.000], [0.000, 0.000, 5.721]], "species": ["N", "N", "Os", "Se", "Se"], "frac_coords": [[0.000, 0.500, 0.000], [0.500, 0.000, 0.000], [0.000, 0.000, 0.000], [0.000, 0.000, 0.500], [0.500, 0.500, 0.500]], "magmom_total_mub_per_cell": 0.11}

---

## 3
{"formula": "OsSe2N2", "functional": "PBE-GGA", "state": "optimized geometry", "lattice": [[5.084, 0.000, 0.000], [0.000, 5.084, 0.000], [0.000, 0.000, 3.664]], "species": ["Os", "N", "N", "Se", "Se"], "frac_coords": [[0.000, 0.000, 0.000], [0.000, 0.000, 0.500], [0.500, 0.500, 0.500], [0.500, 0.000, 0.000], [0.000, 0.500, 0.000]], "magmom_total_mub_per_cell": 1.28}

---

Referenced to the most stable arrangement, the calculated values in kJ/mol of atoms are 1 84.8; 2 0.0; 3 78.6.

---

## 1
{"formula": "SiOsSeN2", "functional": "PBE-GGA", "state": "optimized geometry", "lattice": [[3.817, 0.000, 0.000], [0.000, 3.817, 0.000], [0.000, 0.000, 5.376]], "species": ["Os", "N", "N", "Si", "Se"], "frac_coords": [[0.000, 0.000, 0.000], [0.500, 0.000, 0.000], [0.000, 0.500, 0.000], [0.500, 0.500, 0.500], [0.000, 0.000, 0.500]], "magmom_total_mub_per_cell": 0.00}

---

## 2
{"formula": "SiOsSeN2", "functional": "PBE-GGA", "state": "optimized geometry", "lattice": [[-1.726, 2.702, -1.216], [-0.291, -1.555, -3.043], [-7.165, -3.470, 2.459]], "species": ["Si", "N", "N", "Os", "Se"], "frac_coords": [[0.000, 0.000, 0.000], [0.000, 0.500, 0.000], [0.500, 0.000, 0.000], [0.500, 0.500, 0.500], [0.000, 0.000, 0.500]], "magmom_total_mub_per_cell": 0.81}

---

Referenced to the most stable arrangement, the calculated values in kJ/mol of atoms are 1 0.0; 2 30.3.

---

## 1
{"formula": "SiOsSe2N", "functional": "PBE-GGA", "state": "optimized geometry", "lattice": [[-4.882, -0.866, -1.211], [0.910, -5.022, -0.077], [-0.848, -0.208, 3.567]], "species": ["Se", "Se", "N", "Si", "Os"], "frac_coords": [[0.000, 0.500, 0.000], [0.500, 0.000, 0.000], [0.000, 0.000, 0.500], [0.500, 0.500, 0.500], [0.000, 0.000, 0.000]], "magmom_total_mub_per_cell": 0.00}

---

## 2
{"formula": "SiOsSe2N", "functional": "PBE-GGA", "state": "optimized geometry", "lattice": [[4.957, 0.000, 0.000], [0.000, 4.957, 0.000], [0.000, 0.000, 3.201]], "species": ["Se", "Se", "Si", "Os", "N"], "frac_coords": [[0.000, 0.500, 0.000], [0.500, 0.000, 0.000], [0.000, 0.000, 0.000], [0.500, 0.500, 0.500], [0.000, 0.000, 0.500]], "magmom_total_mub_per_cell": 0.26}

---

Referenced to the most stable arrangement, the calculated values in kJ/mol of atoms are 1 0.0; 2 24.4.

---

## 1
{"formula": "SnOsSe2N", "functional": "PBE-GGA", "state": "optimized geometry", "lattice": [[-0.812, 4.509, 2.472], [-5.137, -0.603, -0.587], [-0.158, -1.805, 3.240]], "species": ["N", "Se", "Se", "Sn", "Os"], "frac_coords": [[0.000, 0.000, 0.500], [0.000, 0.500, 0.000], [0.500, 0.000, 0.000], [0.500, 0.500, 0.500], [0.000, 0.000, 0.000]], "magmom_total_mub_per_cell": 0.00}

---

## 2
{"formula": "SnOsSe2N", "functional": "PBE-GGA", "state": "optimized geometry", "lattice": [[-1.100, 3.733, 3.569], [-4.853, -1.996, 0.591], [1.295, -2.313, 2.818]], "species": ["Os", "N", "Sn", "Se", "Se"], "frac_coords": [[0.500, 0.500, 0.500], [0.000, 0.000, 0.500], [0.000, 0.000, 0.000], [0.000, 0.500, 0.000], [0.500, 0.000, 0.000]], "magmom_total_mub_per_cell": 3.61}

---

Referenced to the most stable arrangement, the calculated values in kJ/mol of atoms are 1 0.0; 2 146.2.

---

## 1
{"formula": "SrOsSe2N", "functional": "PBE-GGA", "state": "optimized geometry", "lattice": [[5.277, 0.000, 0.000], [0.000, 5.277, 0.000], [0.000, 0.000, 3.748]], "species": ["N", "Sr", "Se", "Se", "Os"], "frac_coords": [[0.000, 0.000, 0.500], [0.500, 0.500, 0.500], [0.500, 0.000, 0.000], [0.000, 0.500, 0.000], [0.000, 0.000, 0.000]], "magmom_total_mub_per_cell": 0.00}

---

## 2
{"formula": "SrOsSe2N", "functional": "PBE-GGA", "state": "optimized geometry", "lattice": [[5.655, 0.000, 0.000], [0.000, 5.655, 0.000], [0.000, 0.000, 4.297]], "species": ["Sr", "Os", "Se", "Se", "N"], "frac_coords": [[0.000, 0.000, 0.000], [0.500, 0.500, 0.500], [0.500, 0.000, 0.000], [0.000, 0.500, 0.000], [0.000, 0.000, 0.500]], "magmom_total_mub_per_cell": 3.71}

---

Referenced to the most stable arrangement, the calculated values in kJ/mol of atoms are 1 0.0; 2 236.6.

---

## 1
{"formula": "SrOsSeN2", "functional": "PBE-GGA", "state": "optimized geometry", "lattice": [[3.973, 0.000, 0.000], [0.000, 3.973, 0.000], [0.000, 0.000, 5.397]], "species": ["Se", "N", "N", "Sr", "Os"], "frac_coords": [[0.000, 0.000, 0.500], [0.000, 0.500, 0.000], [0.500, 0.000, 0.000], [0.500, 0.500, 0.500], [0.000, 0.000, 0.000]], "magmom_total_mub_per_cell": 0.31}

---

## 2
{"formula": "SrOsSeN2", "functional": "PBE-GGA", "state": "optimized geometry", "lattice": [[4.564, 0.000, 0.000], [0.000, 6.261, 0.000], [0.000, 0.000, 4.564]], "species": ["Os", "N", "N", "Sr", "Se"], "frac_coords": [[0.500, 0.500, 0.500], [0.000, 0.000, 0.500], [0.500, 0.000, 0.000], [0.000, 0.000, 0.000], [0.000, 0.500, 0.000]], "magmom_total_mub_per_cell": 8.02}

---

Referenced to the most stable arrangement, the calculated values in kJ/mol of atoms are 1 0.0; 2 243.6.

---

## 1
{"formula": "TeOsSeN2", "functional": "PBE-GGA", "state": "optimized geometry", "lattice": [[-3.738, -0.256, 0.200], [0.325, -2.895, 2.365], [-0.013, 4.473, 5.477]], "species": ["Te", "N", "N", "Se", "Os"], "frac_coords": [[0.000, 0.000, 0.500], [0.500, 0.000, 0.000], [0.000, 0.500, 0.000], [0.000, 0.000, 0.000], [0.500, 0.500, 0.500]], "magmom_total_mub_per_cell": 1.49}

---

## 2
{"formula": "TeOsSeN2", "functional": "PBE-GGA", "state": "optimized geometry", "lattice": [[3.848, 0.000, 0.000], [0.000, 3.848, 0.000], [0.000, 0.000, 5.950]], "species": ["Se", "N", "N", "Te", "Os"], "frac_coords": [[0.500, 0.500, 0.500], [0.000, 0.500, 0.000], [0.500, 0.000, 0.000], [0.000, 0.000, 0.500], [0.000, 0.000, 0.000]], "magmom_total_mub_per_cell": 0.21}

---

Referenced to the most stable arrangement, the calculated values in kJ/mol of atoms are 1 140.8; 2 0.0.

---

## 1
{"formula": "TeOsSeN2", "functional": "PBE-GGA", "state": "optimized geometry", "lattice": [[-0.590, -1.332, 3.563], [3.029, -2.347, -0.376], [3.834, 4.572, 2.345]], "species": ["Os", "Se", "Te", "N", "N"], "frac_coords": [[0.500, 0.500, 0.500], [0.000, 0.000, 0.500], [0.000, 0.000, 0.000], [0.000, 0.500, 0.000], [0.500, 0.000, 0.000]], "magmom_total_mub_per_cell": 2.83}

---

## 2
{"formula": "TeOsSeN2", "functional": "PBE-GGA", "state": "optimized geometry", "lattice": [[-0.474, -3.318, 1.940], [3.787, -0.737, -0.335], [0.968, 2.737, 4.918]], "species": ["Te", "Os", "N", "N", "Se"], "frac_coords": [[0.500, 0.500, 0.500], [0.000, 0.000, 0.000], [0.000, 0.500, 0.000], [0.500, 0.000, 0.000], [0.000, 0.000, 0.500]], "magmom_total_mub_per_cell": 0.34}

---

Referenced to the most stable arrangement, the calculated values in kJ/mol of atoms are 1 128.3; 2 0.0.

---

## 1
{"formula": "Te2OsSeN", "functional": "PBE-GGA", "state": "optimized geometry", "lattice": [[-4.707, 2.357, 1.112], [-2.554, -4.630, -0.996], [0.341, -0.916, 3.386]], "species": ["Te", "Te", "N", "Se", "Os"], "frac_coords": [[0.500, 0.000, 0.000], [0.000, 0.500, 0.000], [0.000, 0.000, 0.500], [0.000, 0.000, 0.000], [0.500, 0.500, 0.500]], "magmom_total_mub_per_cell": 0.00}

---

## 2
{"formula": "Te2OsSeN", "functional": "PBE-GGA", "state": "optimized geometry", "lattice": [[-1.474, -4.240, 3.083], [4.597, -2.585, -1.358], [1.708, 1.515, 2.899]], "species": ["Se", "N", "Te", "Te", "Os"], "frac_coords": [[0.500, 0.500, 0.500], [0.000, 0.000, 0.500], [0.000, 0.500, 0.000], [0.500, 0.000, 0.000], [0.000, 0.000, 0.000]], "magmom_total_mub_per_cell": 0.00}

---

Referenced to the most stable arrangement, the calculated values in kJ/mol of atoms are 1 116.5; 2 0.0.

---

## 1
{"formula": "TiOsSeN2", "functional": "PBE-GGA", "state": "optimized geometry", "lattice": [[-2.792, 1.254, -2.240], [2.120, -0.738, -3.056], [-2.041, -4.942, -0.222]], "species": ["Os", "Se", "N", "N", "Ti"], "frac_coords": [[0.000, 0.000, 0.000], [0.000, 0.000, 0.500], [0.500, 0.000, 0.000], [0.000, 0.500, 0.000], [0.500, 0.500, 0.500]], "magmom_total_mub_per_cell": 0.00}

---

## 2
{"formula": "TiOsSeN2", "functional": "PBE-GGA", "state": "optimized geometry", "lattice": [[-1.595, -1.700, 3.032], [-2.463, -1.801, -2.306], [3.431, -4.078, -0.480]], "species": ["N", "N", "Ti", "Se", "Os"], "frac_coords": [[0.500, 0.000, 0.000], [0.000, 0.500, 0.000], [0.000, 0.000, 0.000], [0.000, 0.000, 0.500], [0.500, 0.500, 0.500]], "magmom_total_mub_per_cell": 2.59}

---

Referenced to the most stable arrangement, the calculated values in kJ/mol of atoms are 1 0.0; 2 53.3.